a | DFT (PBE) results for an optimized crystal structure of PmDyRu.

POSCAR file:
```
PmDyRu
1.0
-0.124 -3.407 0.443
1.403 0.354 3.118
-6.698 2.093 0.881
Pm Ru Dy
1 1 1
Direct
0.294 0.294 0.589
0.663 0.663 0.326
0.042 0.042 0.085
```

b | DFT (PBE) results for an optimized crystal structure of PmDyRu.

POSCAR file:
```
PmDyRu
1.0
4.823 0.086 0.113
2.327 4.226 0.137
2.205 1.285 7.996
Ru Dy Pm
2 2 2
Direct
0.248 0.248 0.255
0.752 0.752 0.745
0.873 0.873 0.380
0.127 0.127 0.620
0.376 0.376 0.871
0.624 0.624 0.129
```

Least stable structure: b

a | DFT (PBE) results for an optimized crystal structure of PmDy3Ru.

POSCAR file:
```
PmDy3Ru
1.0
-3.013 4.452 0.532
-0.542 -0.998 5.282
4.451 2.893 1.003
Pm Dy Ru
1 3 1
Direct
0.500 0.500 0.500
0.500 0.000 0.000
0.000 0.500 0.000
0.000 0.000 0.500
0.000 0.000 0.000
```

b | DFT (PBE) results for an optimized crystal structure of PmDy3Ru.

POSCAR file:
```
PmDy3Ru
1.0
6.241 0.000 0.000
0.000 6.418 -0.001
0.000 0.001 7.643
Dy Pm Ru
6 2 2
Direct
0.926 0.500 0.950
0.426 0.853 0.952
0.426 0.853 0.450
0.926 0.500 0.452
0.920 0.017 0.701
0.420 0.335 0.201
0.932 0.024 0.201
0.432 0.328 0.701
0.675 0.674 0.201
0.175 0.679 0.701
```

c | DFT (PBE) results for an optimized crystal structure of PmDy3Ru.

POSCAR file:
```
PmDy3Ru
1.0
4.931 -0.015 0.000
-2.469 6.082 0.000
0.000 0.000 9.661
Dy Ru Pm
6 2 2
Direct
0.366 0.731 0.250
0.133 0.268 0.500
0.634 0.269 0.750
0.867 0.732 0.000
0.133 0.268 0.000
0.867 0.732 0.500
0.004 0.008 0.750
0.996 0.992 0.250
0.640 0.280 0.250
0.360 0.720 0.750
```

Least stable structure: a

a | DFT (PBE) results for an optimized crystal structure of Pm2DyRu.

POSCAR file:
```
Pm2DyRu
1.0
-3.072 -0.686 -5.550
1.437 -7.217 0.097
-8.164 -1.562 4.711
Pm Ru Dy
8 4 4
Direct
0.170 0.677 0.065
0.830 0.323 0.565
0.170 0.677 0.435
0.670 0.823 0.565
0.670 0.823 0.935
0.330 0.177 0.435
0.830 0.323 0.935
0.330 0.177 0.065
0.959 0.615 0.750
0.459 0.885 0.250
0.541 0.115 0.750
0.041 0.385 0.250
0.643 0.543 0.250
0.143 0.957 0.750
0.357 0.457 0.750
0.857 0.043 0.250
```

b | DFT (PBE) results for an optimized crystal structure of Pm2DyRu.

POSCAR file:
```
Pm2DyRu
1.0
-1.626 -3.341 1.495
6.266 -0.214 0.979
-1.140 4.232 8.214
Pm Ru Dy
4 2 2
Direct
0.641 0.283 0.432
0.641 0.283 0.068
0.359 0.717 0.932
0.359 0.717 0.568
0.741 0.482 0.750
0.259 0.518 0.250
0.920 0.840 0.250
0.080 0.160 0.750
```

Least stable structure: b

a | DFT (PBE) results for an optimized crystal structure of Pm2DyRu.

POSCAR file:
```
Pm2DyRu
1.0
-3.385 0.962 -0.681
-2.448 -0.082 2.617
0.423 10.421 3.177
Pm Ru Dy
2 1 1
Direct
0.893 0.893 0.320
0.107 0.107 0.680
0.500 0.500 0.500
0.000 0.000 0.000
```

b | DFT (PBE) results for an optimized crystal structure of Pm2DyRu.

POSCAR file:
```
Pm2DyRu
1.0
3.495 0.000 0.000
0.000 3.495 0.000
0.000 0.000 9.166
Dy Pm Ru
1 2 1
Direct
0.500 0.500 0.500
0.000 0.000 0.814
0.000 0.000 0.186
0.500 0.500 0.000
```

Least stable structure: a

a | DFT (PBE) results for an optimized crystal structure of PmDySnRu.

POSCAR file:
```
PmDySnRu
1.0
5.140 0.000 0.000
2.570 4.451 0.000
2.570 1.484 4.197
Sn Ru Pm Dy
1 1 1 1
Direct
0.250 0.250 0.250
0.750 0.750 0.750
0.000 0.000 0.000
0.500 0.500 0.500
```

b | DFT (PBE) results for an optimized crystal structure of PmDySnRu.

POSCAR file:
```
PmDySnRu
1.0
-0.956 -4.369 1.185
3.669 -0.648 0.571
-0.095 3.807 4.929
Ru Sn Pm Dy
1 1 1 1
Direct
0.601 0.500 0.201
0.432 0.000 0.863
0.835 0.500 0.671
0.132 0.000 0.265
```

Least stable structure: a

a | DFT (PBE) results for an optimized crystal structure of PmDyZnRu.

POSCAR file:
```
PmDyZnRu
1.0
-3.788 -0.360 -3.215
-1.339 -4.455 -1.782
-4.298 -2.068 1.437
Ru Dy Pm Zn
1 1 1 1
Direct
0.750 0.750 0.750
0.500 0.500 0.500
0.000 0.000 0.000
0.250 0.250 0.250
```

b | DFT (PBE) results for an optimized crystal structure of PmDyZnRu.

POSCAR file:
```
PmDyZnRu
1.0
4.004 0.000 0.000
0.000 4.311 0.000
-2.002 0.000 5.335
Ru Pm Zn Dy
1 1 1 1
Direct
0.575 0.500 0.151
0.855 0.500 0.711
0.432 0.000 0.864
0.137 0.000 0.274
```

Least stable structure: b

a | DFT (PBE) results for an optimized crystal structure of Pm2DyS4.

POSCAR file:
```
Pm2DyS4
1.0
-3.838 3.234 6.180
2.962 -0.706 7.337
2.957 6.436 3.597
S Pm Dy
8 4 2
Direct
0.746 0.260 0.247
0.241 0.253 0.753
0.746 0.747 0.760
0.759 0.747 0.247
0.752 0.253 0.753
0.254 0.740 0.753
0.254 0.253 0.240
0.248 0.747 0.247
0.000 0.500 0.500
0.000 0.000 0.000
0.000 0.000 0.500
0.500 0.000 0.500
0.500 0.500 0.000
0.000 0.500 0.000
```

b | DFT (PBE) results for an optimized crystal structure of Pm2DyS4.

POSCAR file:
```
Pm2DyS4
1.0
8.198 0.292 -0.139
-0.300 8.197 0.139
-3.846 -4.340 5.810
S Pm Dy
8 4 2
Direct
0.860 0.620 0.239
0.380 0.140 0.761
0.871 0.131 0.261
0.379 0.619 0.239
0.870 0.610 0.739
0.869 0.129 0.739
0.381 0.621 0.761
0.390 0.130 0.261
0.125 0.375 0.750
0.625 0.875 0.250
0.625 0.375 0.750
0.625 0.375 0.250
0.000 0.000 0.000
0.250 0.750 0.500
```

Least stable structure: b

a | DFT (PBE) results for an optimized crystal structure of Pm2DyS3.

POSCAR file:
```
Pm2DyS3
1.0
-2.146 3.230 0.947
-3.644 -3.250 2.829
6.142 0.706 3.094
Pm Dy S
2 1 3
Direct
0.170 0.170 0.840
0.830 0.830 0.160
0.500 0.500 0.500
0.840 0.340 0.181
0.500 0.000 0.500
0.160 0.660 0.819
```

b | DFT (PBE) results for an optimized crystal structure of Pm2DyS3.

POSCAR file:
```
Pm2DyS3
1.0
-3.342 -0.240 -2.085
1.822 -3.291 1.192
-10.635 0.273 17.015
S Pm Dy
6 4 2
Direct
0.333 0.667 0.331
0.667 0.333 0.831
0.333 0.667 0.169
0.000 0.000 0.500
0.000 0.000 0.000
0.667 0.333 0.669
0.667 0.333 0.083
0.667 0.333 0.417
0.333 0.667 0.917
0.333 0.667 0.583
0.000 0.000 0.750
0.000 0.000 0.250
```

Least stable structure: b

a | DFT (PBE) results for an optimized crystal structure of PmDyS3.

POSCAR file:
```
PmDyS3
1.0
3.971 0.000 0.000
0.000 7.382 0.000
0.000 0.000 15.357
Dy S Pm
4 12 4
Direct
0.250 0.768 0.543
0.250 0.268 0.957
0.750 0.232 0.457
0.750 0.732 0.043
0.250 0.011 0.394
0.250 0.376 0.564
0.750 0.351 0.284
0.750 0.489 0.894
0.250 0.511 0.106
0.750 0.851 0.216
0.750 0.124 0.064
0.250 0.649 0.716
0.750 0.624 0.436
0.750 0.989 0.606
0.250 0.149 0.784
0.250 0.876 0.936
0.750 0.857 0.798
0.250 0.143 0.202
0.750 0.357 0.702
0.250 0.643 0.298
```

b | DFT (PBE) results for an optimized crystal structure of PmDyS3.

POSCAR file:
```
PmDyS3
1.0
7.024 0.000 0.000
3.513 6.083 0.000
3.513 2.028 6.227
S Pm Dy
6 2 2
Direct
0.044 0.761 0.748
0.553 0.956 0.252
0.447 0.044 0.748
0.762 0.447 0.748
0.956 0.239 0.252
0.238 0.553 0.252
0.355 0.355 0.936
0.645 0.645 0.064
0.849 0.849 0.453
0.151 0.151 0.547
```

Least stable structure: b

a | DFT (PBE) results for an optimized crystal structure of PmDyS2.

POSCAR file:
```
PmDyS2
1.0
3.875 0.000 0.000
1.938 3.356 0.000
1.938 1.119 6.910
S Dy Pm
2 1 1
Direct
0.248 0.248 0.256
0.085 0.085 0.744
0.494 0.494 0.517
0.672 0.672 0.983
```

b | DFT (PBE) results for an optimized crystal structure of PmDyS2.

POSCAR file:
```
PmDyS2
1.0
-3.539 -1.501 -0.795
3.142 -2.348 0.137
-2.071 -2.009 13.009
Pm Dy S
2 2 4
Direct
0.667 0.333 0.250
0.333 0.667 0.750
0.000 0.000 0.000
0.000 0.000 0.500
0.667 0.333 0.882
0.667 0.333 0.618
0.333 0.667 0.382
0.333 0.667 0.118
```

Least stable structure: a

a | DFT (PBE) results for an optimized crystal structure of PmDySb2.

POSCAR file:
```
PmDySb2
1.0
5.426 0.000 0.000
2.713 4.699 0.000
2.713 1.566 4.430
Dy Pm Sb
1 1 2
Direct
0.500 0.500 0.500
0.000 0.000 0.000
0.750 0.750 0.750
0.250 0.250 0.250
```

b | DFT (PBE) results for an optimized crystal structure of PmDySb2.

POSCAR file:
```
PmDySb2
1.0
4.426 0.000 0.000
-2.213 3.833 0.000
0.000 0.000 14.608
Sb Pm Dy
4 2 2
Direct
0.333 0.667 0.120
0.333 0.667 0.380
0.667 0.333 0.880
0.667 0.333 0.620
0.333 0.667 0.750
0.667 0.333 0.250
0.000 0.000 0.500
0.000 0.000 0.000
```

c | DFT (PBE) results for an optimized crystal structure of PmDySb2.

POSCAR file:
```
PmDySb2
1.0
-2.571 -1.370 -1.666
3.672 -3.258 -2.988
-0.398 -4.112 3.995
Sb Pm Dy
2 1 1
Direct
0.000 0.500 0.000
0.000 0.000 0.500
0.500 0.500 0.500
0.500 0.000 0.000
```

d | DFT (PBE) results for an optimized crystal structure of PmDySb2.

POSCAR file:
```
PmDySb2
1.0
4.442 -0.002 -0.005
-2.221 3.846 0.005
-2.217 -1.283 7.244
Sb Dy Pm
2 1 1
Direct
0.495 0.748 0.243
0.505 0.252 0.757
0.000 0.000 0.000
0.000 0.500 0.500
```

Least stable structure: a